(1)
{
  "formula": "Pa2OsPbO8",
  "functional": "PBE",
  "state": "optimized geometry",
  "lattice_angstrom": [[5.033, 0.027, -0.003], [0.072, 5.033, -0.005], [0.005, 0.008, 7.158]],
  "species": ["Os", "O", "O", "O", "O", "O", "O", "O", "O", "Pb", "Pa", "Pa"],
  "frac_coords": [[0.000, 0.000, 0.000], [0.330, 0.329, 0.500], [0.294, 0.293, 0.000], [0.706, 0.707, 0.000], [0.801, 0.200, 0.798], [0.801, 0.200, 0.202], [0.199, 0.800, 0.202], [0.670, 0.671, 0.500], [0.199, 0.800, 0.798], [0.000, 0.000, 0.500], [0.500, 0.500, 0.244], [0.500, 0.500, 0.756]],
  "e_form_raw_mev_per_atom": -2364,
  "sg": "P2/m, No. 10"
}

=====

(2)
{
  "formula": "NdDyAlGa",
  "functional": "PBE",
  "state": "optimized geometry",
  "lattice_angstrom": [[-0.240, -4.044, -3.203], [4.282, -1.707, -2.329], [2.068, -4.523, 1.392]],
  "species": ["Dy", "Al", "Nd", "Ga"],
  "frac_coords": [[0.000, 0.000, 0.000], [0.750, 0.750, 0.750], [0.500, 0.500, 0.500], [0.250, 0.250, 0.250]],
  "sg": "F-43m, No. 216",
  "e_form_kj_per_mol_fu": -178,
  "relative_energy_mev_per_atom": 26
}

=====

(3)
{
  "formula": "ZnReOs2",
  "functional": "PBE",
  "state": "optimized geometry",
  "lattice_angstrom": [[4.696, 0.021, 0.000], [-1.485, 4.455, 0.000], [0.000, 0.000, 2.769]],
  "species": ["Os", "Os", "Re", "Zn"],
  "frac_coords": [[0.000, 0.000, 0.000], [0.500, 0.500, 0.000], [0.500, 0.000, 0.500], [0.000, 0.500, 0.500]],
  "sg": "Cmmm, No. 65",
  "e_form_kj_per_mol_fu": 137
}

=====

(4)
{
  "formula": "MgAs2Cl",
  "functional": "PBE",
  "state": "optimized geometry",
  "lattice_angstrom": [[4.835, 0.001, 0.000], [0.005, 4.835, 0.000], [-2.420, -2.418, 3.417]],
  "species": ["Cl", "As", "As", "Mg"],
  "frac_coords": [[0.500, 0.500, 0.000], [0.000, 0.000, 0.000], [0.250, 0.750, 0.500], [0.750, 0.250, 0.500]],
  "e_form_raw_mev_per_atom": -76,
  "sg": "F-43m, No. 216",
  "relative_energy_mev_per_atom": 519
}